1 | First-principles (PBE-GGA) data for a relaxed YB3C crystal, as listed in Alexandria via LeMat-Bulk.

Summary:
Fermi-level density of states: 3.0 states/eV per cell
magnetization: 0.15 μB per cell

```
5
Lattice="4.694 0.000 0.000 0.000 4.694 0.000 0.000 0.000 4.694" Properties=species:S:1:pos:R:3 pbc="T T T"
Y 0.000 0.000 0.000
B 0.000 0.000 2.347
B 0.000 2.347 0.000
B 2.347 0.000 0.000
C 2.347 2.347 2.347
```



2 | First-principles (PBE-GGA) data for a relaxed YB3C crystal, as listed in Alexandria via LeMat-Bulk.

Summary:
Fermi-level density of states: 1.7 states/eV per cell
magnetization: 0.00 μB per cell

```
10
Lattice="3.701 0.000 0.000 0.000 7.190 0.000 0.000 0.000 3.983" Properties=species:S:1:pos:R:3 pbc="T T T"
Y 0.000 1.110 0.000
Y 1.850 6.080 1.991
B 0.000 5.266 0.572
B 0.926 2.890 1.488
B 0.924 4.300 3.479
B 1.850 1.925 2.564
B 2.775 2.890 1.488
B 2.776 4.300 3.479
C 0.000 4.212 2.052
C 1.850 2.978 0.060
```



2 is the most stable structure; the next one sits 334.0 kJ/mol of atoms above it.